# CaCoPtO4 | the Alexandria database | GGA+U | optimized geometry
# magnetization	3.0	μB per formula unit
# total DFT energy (no corrections)	-6.08	eV per atom
data_CaCoPtO4
_symmetry_space_group_name_H-M 'I m m a'
_symmetry_Int_Tables_number 74
_symmetry_space_group_name_Hall '-I 2b 2'
_cell_length_a 6.602
_cell_length_b 6.974
_cell_length_c 7.463
_cell_angle_alpha 90.00
_cell_angle_beta 90.00
_cell_angle_gamma 90.00
loop_
_atom_site_label
_atom_site_type_symbol
_atom_site_fract_x
_atom_site_fract_y
_atom_site_fract_z
_atom_site_occupancy
Ca1 Ca 0.000 0.250 0.156 1
Co1 Co 0.000 0.000 0.500 1
Pt1 Pt 0.250 0.250 0.750 1
O1 O 0.000 0.072 0.771 1
O2 O 0.198 0.250 0.477 1